First-principles (PBE) data for a geometry-optimized NdErPt2 structure, as listed in the Alexandria database.

Structure (POSCAR):
```
NdErPt2
1.0
0.0000 3.5424 3.5424
3.5424 0.0000 3.5424
3.5424 3.5424 0.0000
Nd Er Pt
1 1 2
direct
0.0000 0.0000 0.0000 Nd
0.5000 0.5000 0.5000 Er
0.2500 0.2500 0.2500 Pt
0.7500 0.7500 0.7500 Pt
```

DOS(E_F) in states/eV per cell: 3.39
Energy of formation from the pure elements in meV per atom: -1129
E above lowest polymorph in eV per atom: 0.0859
DFT total energy in eV per cell: -25.9

=====

First-principles (PBE) data for a geometry-optimized NdEr2Pt structure, as listed in the Alexandria database.

Structure (POSCAR):
```
NdEr2Pt
1.0
1.9738 1.1396 8.9757
-1.9738 1.1396 8.9757
0.0000 -2.2791 8.9757
Nd Er Pt
1 2 1
direct
0.0000 0.0000 0.0000 Nd
0.5565 0.5565 0.5565 Er
0.7719 0.7719 0.7719 Er
0.1636 0.1636 0.1636 Pt
```

DOS(E_F) in states/eV per cell: 3.78
Energy of formation from the pure elements in meV per atom: -562
E above lowest polymorph in eV per atom: 0.1374
DFT total energy in eV per cell: -22.2

=====

First-principles (PBE) data for a geometry-optimized Nd2ErPt structure, as listed in the Alexandria database.

Structure (POSCAR):
```
Nd2ErPt
1.0
1.8894 1.0908 10.6892
-1.8894 1.0908 10.6892
0.0000 -2.1816 10.6892
Nd Er Pt
2 1 1
direct
0.1081 0.1081 0.1081 Nd
0.8919 0.8919 0.8919 Nd
0.0000 0.0000 0.0000 Er
0.5000 0.5000 0.5000 Pt
```

DOS(E_F) in states/eV per cell: 5.32
Energy of formation from the pure elements in meV per atom: -210
E above lowest polymorph in eV per atom: 0.4399
DFT total energy in eV per cell: -21.0

=====

First-principles (PBE) data for a geometry-optimized Nd5ErPt4 structure, as listed in the Alexandria database.

Structure (POSCAR):
```
Nd5ErPt4
1.0
9.0451 -2.0938 0.0000
9.0451 2.0938 0.0000
-2.2034 0.0000 7.8155
Nd Er Pt
5 1 4
direct
0.0000 0.0000 0.0000 Nd
0.3330 0.3330 0.6458 Nd
0.3345 0.3345 0.1551 Nd
0.6655 0.6655 0.8449 Nd
0.6670 0.6670 0.3542 Nd
0.0000 0.0000 0.5000 Er
0.1674 0.1674 0.6040 Pt
0.4987 0.4987 0.2523 Pt
0.5013 0.5013 0.7477 Pt
0.8326 0.8326 0.3960 Pt
```

DOS(E_F) in states/eV per cell: 8.09
Energy of formation from the pure elements in meV per atom: -869
DFT total energy in eV per cell: -61.3

=====

First-principles (PBE) data for a geometry-optimized Nd2ErPt structure, as listed in the Alexandria database.

Structure (POSCAR):
```
Nd2ErPt
1.0
3.6968 0.0000 0.0000
0.0000 3.6968 0.0000
0.0000 0.0000 8.3824
Nd Er Pt
2 1 1
direct
0.0000 0.0000 0.2020 Nd
0.0000 0.0000 0.7980 Nd
0.5000 0.5000 0.5000 Er
0.5000 0.5000 0.0000 Pt
```

DOS(E_F) in states/eV per cell: 6.30
Energy of formation from the pure elements in meV per atom: -467
E above lowest polymorph in eV per atom: 0.1831
DFT total energy in eV per cell: -22.0

=====

First-principles (PBE) data for a geometry-optimized NdEr2Pt2 structure, as listed in the Alexandria database.

Structure (POSCAR):
```
NdEr2Pt2
1.0
5.4301 0.0000 0.0000
0.0000 4.6465 0.0000
-1.2511 0.0000 10.3419
Nd Er Pt
2 4 4
direct
0.0784 0.2500 0.2806 Nd
0.9216 0.7500 0.7194 Nd
0.2722 0.7500 0.0285 Er
0.3751 0.2500 0.6133 Er
0.6249 0.7500 0.3867 Er
0.7278 0.2500 0.9715 Er
0.1597 0.7500 0.4733 Pt
0.2029 0.2500 0.8679 Pt
0.7971 0.7500 0.1321 Pt
0.8403 0.2500 0.5267 Pt
```

DOS(E_F) in states/eV per cell: 7.43
Energy of formation from the pure elements in meV per atom: -1029
DFT total energy in eV per cell: -62.2

=====

First-principles (PBE) data for a geometry-optimized NdErPt2 structure, as listed in the Alexandria database.

Structure (POSCAR):
```
NdErPt2
1.0
3.5232 0.0000 0.0000
0.0000 3.5232 0.0000
0.0000 0.0000 7.1286
Nd Er Pt
1 1 2
direct
0.0000 0.0000 0.0000 Nd
0.0000 0.0000 0.5000 Er
0.5000 0.5000 0.2708 Pt
0.5000 0.5000 0.7292 Pt
```

DOS(E_F) in states/eV per cell: 3.05
Energy of formation from the pure elements in meV per atom: -1146
E above lowest polymorph in eV per atom: 0.0687
DFT total energy in eV per cell: -26.0

=====

First-principles (PBE) data for a geometry-optimized Nd2ErPt structure, as listed in the Alexandria database.

Structure (POSCAR):
```
Nd2ErPt
1.0
7.1437 0.0000 0.0000
0.0000 10.0084 0.0000
0.0000 0.0000 6.5697
Nd Er Pt
8 4 4
direct
0.1829 0.0612 0.1772 Nd
0.1829 0.4388 0.1772 Nd
0.3171 0.5612 0.6772 Nd
0.3171 0.9388 0.6772 Nd
0.6829 0.0612 0.3228 Nd
0.6829 0.4388 0.3228 Nd
0.8171 0.5612 0.8228 Nd
0.8171 0.9388 0.8228 Nd
0.0329 0.2500 0.6454 Er
0.4671 0.7500 0.1454 Er
0.5329 0.2500 0.8546 Er
0.9671 0.7500 0.3546 Er
0.1150 0.7500 0.9555 Pt
0.3850 0.2500 0.4555 Pt
0.6150 0.7500 0.5445 Pt
0.8850 0.2500 0.0445 Pt
```

DOS(E_F) in states/eV per cell: 15.07
Energy of formation from the pure elements in meV per atom: -650
E above lowest polymorph in eV per atom: 0.0000
DFT total energy in eV per cell: -91.0

=====

First-principles (PBE) data for a geometry-optimized NdErPtRh structure, as listed in the Alexandria database.

Structure (POSCAR):
```
NdErPtRh
1.0
0.0000 3.5068 3.5068
3.5068 0.0000 3.5068
3.5068 3.5068 0.0000
Nd Er Pt Rh
1 1 1 1
direct
0.0000 0.0000 0.0000 Nd
0.5000 0.5000 0.5000 Er
0.2500 0.2500 0.2500 Pt
0.7500 0.7500 0.7500 Rh
```

DOS(E_F) in states/eV per cell: 1.95
Energy of formation from the pure elements in meV per atom: -948
E above lowest polymorph in eV per atom: 0.0455
DFT total energy in eV per cell: -26.5

=====

First-principles (PBE) data for a geometry-optimized NdErPtRh structure, as listed in the Alexandria database.

Structure (POSCAR):
```
NdErPtRh
1.0
4.4151 0.0000 0.0000
0.0000 1.9148 5.3235
0.0000 -1.9148 5.3235
Nd Er Pt Rh
1 1 1 1
direct
0.0000 0.0000 0.0000 Nd
0.5000 0.2816 0.2816 Er
0.5000 0.5623 0.5623 Pt
0.0000 0.7354 0.7354 Rh
```

DOS(E_F) in states/eV per cell: 2.33
Energy of formation from the pure elements in meV per atom: -994
E above lowest polymorph in eV per atom: 0.0000
DFT total energy in eV per cell: -26.7

=====

First-principles (PBE) data for a geometry-optimized NdErRuPt structure, as listed in the Alexandria database.

Structure (POSCAR):
```
NdErRuPt
1.0
0.0000 3.4899 3.4899
3.4899 0.0000 3.4899
3.4899 3.4899 0.0000
Nd Er Ru Pt
1 1 1 1
direct
0.0000 0.0000 0.0000 Nd
0.5000 0.5000 0.5000 Er
0.7500 0.7500 0.7500 Ru
0.2500 0.2500 0.2500 Pt
```

DOS(E_F) in states/eV per cell: 2.37
Energy of formation from the pure elements in meV per atom: -675
DFT total energy in eV per cell: -27.3

=====

First-principles (PBE) data for a geometry-optimized Nd2ErSb3Pt4 structure, as listed in the Alexandria database.

Structure (POSCAR):
```
Nd2ErSb3Pt4
1.0
4.5118 0.0000 0.0000
0.0000 4.5118 0.0000
0.0000 0.0000 11.4547
Nd Er Sb Pt
2 1 3 4
direct
0.0000 0.5000 0.2140 Nd
0.5000 0.0000 0.7860 Nd
0.0000 0.0000 0.5000 Er
0.0000 0.5000 0.8685 Sb
0.5000 0.0000 0.1315 Sb
0.5000 0.5000 0.5000 Sb
0.0000 0.0000 0.0000 Pt
0.0000 0.5000 0.6419 Pt
0.5000 0.0000 0.3581 Pt
0.5000 0.5000 0.0000 Pt
```

DOS(E_F) in states/eV per cell: 2.68
ΔE_f (raw) in meV/atom: -951.7
DFT total energy in eV per cell: -60.1

=====

- The lowest DOS(E_F) belongs to which entry?
  number 9

=====

- The lowest DOS(E_F) belongs to which entry?
  number 9

=====

- Which formula does entry 4 have?
  Nd5ErPt4